Material: ReN2
Method: DFT, PBE
State: relaxed

abc: 2.8056 3.7552 13.0343
angles: 90.00 90.00 90.00
With the nearest neighbours (Å) after each atom.
Space group Immm (No. 71)
Symmetry-distinct sites (fractional):
1 Re 0.0000 0.0000 0.1585 [4 per cell]  4 N 1.98-2.00
2 N 0.0000 0.5000 0.2078 [4 per cell]  2 Re 1.98
3 N 0.0000 0.5000 0.4505 [4 per cell]  1 N 1.29

## Properties
Electronic total energy: -113.16 eV for the cell shown
N(E_F): 4.69 states/eV per cell
Formation energy without anion corrections: 270 meV per atom
V: 11.4 Å³ per atom
Mass density: 10.36 g/cm3


Material: Mg2FeHg
Method: DFT, PBE
State: relaxed

abc: 7.5193 7.5193 5.6149
angles: 90.00 90.00 90.00
With the nearest neighbours (Å) after each atom.
Space group I-42d (No. 122)
Symmetry-distinct sites (fractional):
1 Mg 0.2365 0.2500 0.1250 [8 per cell]  2 Fe 2.68, 2 Mg 2.81, 2 Hg 2.82
2 Fe 0.0000 0.0000 0.0000 [4 per cell]  4 Mg 2.68, 2 Hg 2.81
3 Hg 0.0000 0.0000 0.5000 [4 per cell]  2 Fe 2.81, 4 Mg 2.82

## Properties
Electronic total energy: -41.48 eV for the cell shown
N(E_F): 11.26 states/eV per cell
V: 19.8 Å³ per atom
Mass density: 6.38 g/cm3


Material: ZrTlIn
Method: DFT, PBE
State: relaxed

abc: 3.2986 3.2986 7.8181
angles: 90.00 90.00 120.00
With the nearest neighbours (Å) after each atom.
Space group P3m1 (No. 156)
Symmetry-distinct sites (fractional):
1 Zr 0.0000 0.0000 0.0000 [1 per cell]  3 In 3.16, 3 Tl 3.23, 6 Zr 3.30
2 Tl 0.3333 0.6667 0.6665 [1 per cell]  3 Zr 3.23, 3 In 3.30, 6 Tl 3.30
3 In 0.6667 0.3333 0.3222 [1 per cell]  3 Zr 3.16, 3 Tl 3.30, 6 In 3.30

## Properties
Electronic total energy: -13.51 eV for the cell shown
N(E_F): 3.15 states/eV per cell
V: 24.6 Å³ per atom
ΔE to the lowest computed polymorph: 0.036 eV/atom
Mass density: 9.25 g/cm3